Entry 1:
Density functional theory data (PBE) for Pr2DyPd3 after structural relaxation.

Results
The value obtained for the magnetic moment is 0.00 μB/f.u. The density of states at the Fermi level is 8.087 states/eV/cell. The value obtained for the formation energy is -0.683 eV/atom.

Cell lengths 7.238, 7.238, 8.400 Å; angles 106.90, 106.90, 48.30 degrees
Fractional positions:
1 Pr 0.165 0.171 0.084
2 Pr 0.171 0.165 0.584
3 Pr 0.829 0.835 0.416
4 Pr 0.835 0.829 0.916
5 Dy 0.495 0.505 0.750
6 Dy 0.505 0.495 0.250
7 Pd 0.005 0.995 0.250
8 Pd 0.339 0.345 0.421
9 Pd 0.345 0.339 0.921
10 Pd 0.655 0.661 0.079
11 Pd 0.661 0.655 0.579
12 Pd 0.995 0.005 0.750

Entry 2:
Density functional theory data (PBE) for SrTeMo2 after structural relaxation.

Results
The value obtained for the magnetic moment is 0.00 μB/f.u. The density of states at the Fermi level is 4.963 states/eV/cell. For the uncorrected formation energy, the calculation gives 1.0381 eV per atom.

Cell lengths 3.161, 3.161, 9.366 Å; angles 90.00, 90.00, 109.01 degrees
Fractional positions:
1 Sr 0.000 0.000 0.000
2 Te 0.000 0.000 0.500
3 Mo 0.500 0.500 0.287
4 Mo 0.500 0.500 0.713